Record 1
Computed, not measured: a relaxed Tb3Pr12Zn crystal at the PBE-GGA level of DFT.

Cell and atoms, written as POSCAR:
```
Tb3Pr12Zn
1.0
5.119 0.000 0.000
0.000 5.119 0.000
0.000 0.000 20.679
Tb Pr Zn
3 12 1
direct
0.000 0.000 0.000
0.000 0.000 0.255
0.000 0.000 0.745
0.000 0.500 0.128
0.000 0.500 0.382
0.000 0.500 0.618
0.000 0.500 0.872
0.500 0.000 0.128
0.500 0.000 0.382
0.500 0.000 0.618
0.500 0.000 0.872
0.500 0.500 0.000
0.500 0.500 0.257
0.500 0.500 0.500
0.500 0.500 0.743
0.000 0.000 0.500
```

Record 2
Computed, not measured: a relaxed Tb2PrZr crystal at the PBE-GGA level of DFT.

Cell and atoms, written as POSCAR:
```
Tb2PrZr
1.0
3.491 0.000 0.000
-1.746 3.023 0.000
0.000 0.000 34.319
Tb Pr Zr
6 3 3
direct
0.000 0.000 0.000
0.000 0.000 0.180
0.333 0.667 0.667
0.333 0.667 0.847
0.667 0.333 0.333
0.667 0.333 0.513
0.000 0.000 0.423
0.333 0.667 0.090
0.667 0.333 0.757
0.000 0.000 0.590
0.333 0.667 0.257
0.667 0.333 0.923
```

Record 3
Computed, not measured: a relaxed Tb2PrZr crystal at the PBE-GGA level of DFT.

Cell and atoms, written as POSCAR:
```
Tb2PrZr
1.0
4.042 0.000 0.000
0.000 4.042 0.000
0.000 0.000 7.441
Tb Pr Zr
2 1 1
direct
0.000 0.000 0.217
0.000 0.000 0.783
0.500 0.500 0.500
0.500 0.500 0.000
```

Number 1: electronic total energy -72.35 eV/cell, calculated density 6.843 g/cm³. Number 2: electronic total energy -66.66 eV/cell, calculated density 7.564 g/cm³. Number 3: electronic total energy -21.88 eV/cell, calculated density 7.512 g/cm³.